Here is a geometry-optimized Sr2LiMgN structure from Alexandria. Energies are from PBE-GGA.

```
Sr2LiMgN
1.0
5.487 0.000 0.000
0.000 5.487 0.000
0.000 0.000 4.291
Sr Li Mg N
2 1 1 1
Direct
0.000 0.500 0.000 Sr
0.500 0.000 0.000 Sr
0.000 0.000 0.500 Li
0.500 0.500 0.500 Mg
0.500 0.500 0.000 N
```

Calculated values
Volume = 25.84 Å³/atom
D(E_F) = 3.9 states/eV per cell
Energy relative to the elements, uncorrected = -222 meV/atom
Calculated density = 2.83 g/cm3